VASP calculation (SCAN) on a crystal of Ba2C relaxed with PBEsol.

Cell and atoms, written as POSCAR:
```
Ba2C
1.0
-3.2705 -1.5696 0.8106
4.5704 -2.2990 5.4657
-3.1588 7.3231 1.4354
Ba C
4 2
Cartesian
-2.2175 0.6476 0.8299
0.3585 2.8069 6.8818
-1.0829 4.2754 3.9096
-0.7761 -0.8209 3.8020
0.6463 -0.5617 1.5199
-2.5052 4.0162 6.1918
```

Results
Distance to the lowest polymorph of the same formula (meV per atom): 0
Symmetry: No. 12
DFT formation energy (eV per atom): 0.629
Total magnetic moment (μB/cell): 0.869

=====

VASP calculation (SCAN) on a crystal of HgMo2W relaxed with PBEsol.

Cell and atoms, written as POSCAR:
```
HgMo2W
1.0
3.3104 0.0000 0.0000
0.0000 4.4369 0.0000
-1.6552 -2.2184 4.4489
W Hg Mo
1 1 2
Cartesian
0.0000 2.2184 4.2908
0.0000 0.0000 2.2157
1.6552 2.2184 2.2373
0.0000 2.2184 0.1540
```

Results
Symmetry: No. 44
DFT formation energy (eV per atom): 0.469
Total magnetic moment (μB/cell): 0.000

=====

no.,DOS(E_F) (states/eV/cell)
1,3.67
2,1.42